An optimized crystal structure of LaTaAs2, computed with GGA-PBE.

Cell lengths 7.374, 7.374, 7.374 Å; angles 152.07, 150.99, 40.71 degrees
Sites, in units of the cell vectors:
1 As 0.068 0.068 0.000
2 As 0.776 0.276 0.500
3 La 0.453 0.453 0.000
4 Ta 0.203 0.703 0.500

* energy relative to the elements: -66.5 kJ per mole of atoms
* relative energy among the computed polymorphs: 166.8 meV per atom
* size of the total moment: 0.000 μB per cell

An optimized crystal structure of CaAc2PmO6, computed with GGA-PBE.

Cell lengths 6.093, 6.271, 8.945 Å; angles 90.00, 90.83, 90.00 degrees
Site moments in Bohr magnetons follow the coordinates.
Sites, in units of the cell vectors:
1 Ca 0.500 0.000 0.500  0.00
2 Ca 0.000 0.500 0.000  0.00
3 Ac 0.024 0.948 0.247  0.02
4 Ac 0.524 0.552 0.747  0.02
5 Ac 0.976 0.052 0.753  0.02
6 Ac 0.476 0.448 0.253  0.02
7 Pm 0.500 0.000 0.000  -0.01
8 Pm 0.000 0.500 0.500  -0.01
9 O 0.302 0.702 0.080  0.13
10 O 0.802 0.798 0.580  0.13
11 O 0.698 0.298 0.920  0.13
12 O 0.198 0.202 0.420  0.13
13 O 0.303 0.696 0.428  0.13
14 O 0.803 0.804 0.928  0.13
15 O 0.697 0.304 0.572  0.13
16 O 0.197 0.196 0.072  0.13
17 O 0.864 0.574 0.253  0.17
18 O 0.364 0.926 0.753  0.17
19 O 0.136 0.426 0.747  0.17
20 O 0.636 0.074 0.247  0.17

* formation energy without anion corrections: -3.010 eV per atom
* size of the total moment: 2.123 μB per cell

An optimized crystal structure of KCo3Tc, computed with GGA-PBE.

Cell lengths 4.342, 4.342, 4.342 Å; angles 90.00, 90.00, 90.00 degrees
Site moments in Bohr magnetons follow the coordinates.
Sites, in units of the cell vectors:
1 K 0.000 0.000 0.000  -0.04
2 Co 0.000 0.500 0.000  1.56
3 Co 0.000 0.000 0.500  1.43
4 Co 0.500 0.000 0.000  1.77
5 Tc 0.500 0.500 0.500  2.40

* energy relative to the elements: 249.9 kJ per mole of atoms
* relative energy among the computed polymorphs: 1314.5 meV per atom
* size of the total moment: 7.154 μB per cell

An optimized crystal structure of SbW2Br, computed with GGA-PBE.

Cell lengths 3.112, 3.112, 9.167 Å; angles 90.00, 90.00, 120.06 degrees
Sites, in units of the cell vectors:
1 Sb 0.500 0.500 0.750
2 Br 0.500 0.500 0.250
3 W 0.000 0.000 0.997
4 W 0.000 0.000 0.503

* formation energy without anion corrections: 1.203 eV per atom
* relative energy among the computed polymorphs: 1002.7 meV per atom
* size of the total moment: 0.000 μB per cell

An optimized crystal structure of Ga3P, computed with GGA-PBE.

Cell lengths 5.937, 5.937, 5.937 Å; angles 143.32, 143.32, 52.85 degrees
Sites, in units of the cell vectors:
1 Ga 0.750 0.250 0.500
2 Ga 0.250 0.750 0.500
3 Ga 0.500 0.500 0.000
4 P 0.000 0.000 0.000

* energy relative to the elements: 13.5 kJ per mole of atoms
* relative energy among the computed polymorphs: 0.0 meV per atom
* size of the total moment: 0.000 μB per cell

An optimized crystal structure of NaSr2GeH, computed with GGA-PBE.

Cell lengths 5.211, 5.211, 4.539 Å; angles 90.00, 90.00, 90.00 degrees
Sites, in units of the cell vectors:
1 Sr 0.000 0.500 0.000
2 Sr 0.500 0.000 0.000
3 Ge 0.500 0.500 0.500
4 H 0.000 0.000 0.000
5 Na 0.000 0.000 0.500

* electronic total energy: -2.895 eV per atom
* size of the total moment: 0.000 μB per cell

Number 1: ρ 8.6 g/cm³. Number 2: ρ 7.1 g/cm³. Number 3: ρ 6.4 g/cm³. Number 4: ρ 12.3 g/cm³. Number 5: ρ 5.4 g/cm³. Number 6: ρ 3.7 g/cm³.